First-principles (GGA-PBEsol) data for HgPtAu2 after structural relaxation, as listed in the Alexandria database.

Final energy   -15.1 eV per cell
ΔH_f (0 K)   73 meV per atom
Density of states at the Fermi level   0.396 states/eV/atom

```
data_HgPtAu2
_cell_length_a 2.990
_cell_length_b 2.990
_cell_length_c 7.713
_cell_angle_alpha 90.00
_cell_angle_beta 90.00
_cell_angle_gamma 90.00
_space_group_name_H-M_alt 'P 4/m m m'
_space_group_IT_number 123
_space_group_name_Hall '-P 4 2'
loop_
_atom_site_label
_atom_site_type_symbol
_atom_site_fract_x
_atom_site_fract_y
_atom_site_fract_z
_atom_site_occupancy
Hg1 Hg 0.000 0.000 0.000 1
Pt1 Pt 0.000 0.000 0.500 1
Au1 Au 0.500 0.500 0.264 1
```